Material: K4Ac3DyS8
Method: DFT, GGA-PBE
State: relaxed

a b c (Å): 8.950 8.950 8.950
angles (deg): 58.02 58.02 58.02
Fractional positions:
K  0.000  0.000  0.000
K  0.000  0.500  0.500
K  0.500  0.000  0.500
K  0.500  0.500  0.000
Ac  0.000  0.000  0.500
Ac  0.000  0.500  0.000
Ac  0.500  0.000  0.000
Dy  0.500  0.500  0.500
S  0.239  0.239  0.239
S  0.253  0.727  0.727
S  0.273  0.273  0.747
S  0.273  0.747  0.273
S  0.727  0.253  0.727
S  0.727  0.727  0.253
S  0.747  0.273  0.273
S  0.761  0.761  0.761

Volume = 30.2 A^3/atom
Formation energy (no corrections) = -1876 meV per atom
Final energy = -0.1937 Ha/atom
Symmetry = R-3m, No. 166

Material: KAcDy2Se4
Method: DFT, GGA-PBE
State: relaxed

a b c (Å): 7.361 4.187 7.612
angles (deg): 90.00 108.12 90.00
Fractional positions:
K  0.000  0.000  0.000
Ac  0.500  0.500  0.000
Dy  0.000  0.500  0.500
Dy  0.500  0.000  0.500
Se  0.241  0.000  0.723
Se  0.264  0.500  0.281
Se  0.736  0.500  0.719
Se  0.759  0.000  0.277

Volume = 27.9 A^3/atom
Formation energy (no corrections) = -1758 meV per atom
Final energy = -0.1948 Ha/atom
Symmetry = P2/m, No. 10

Material: KAc2DySe4
Method: DFT, GGA-PBE
State: relaxed

a b c (Å): 7.549 4.362 7.699
angles (deg): 90.00 108.97 90.00
Fractional positions:
K  0.000  0.000  0.000
Ac  0.500  0.000  0.500
Ac  0.500  0.500  0.000
Dy  0.000  0.500  0.500
Se  0.231  0.000  0.731
Se  0.244  0.500  0.264
Se  0.756  0.500  0.736
Se  0.769  0.000  0.269

Volume = 30.0 A^3/atom
Formation energy (no corrections) = -1739 meV per atom
Final energy = -0.1919 Ha/atom
Symmetry = P2/m, No. 10

Material: K4Ac3DySe8
Method: DFT, GGA-PBE
State: relaxed

a b c (Å): 9.308 9.308 9.308
angles (deg): 57.72 57.72 57.72
Fractional positions:
K  0.000  0.000  0.000
K  0.000  0.500  0.500
K  0.500  0.000  0.500
K  0.500  0.500  0.000
Ac  0.000  0.000  0.500
Ac  0.000  0.500  0.000
Ac  0.500  0.000  0.000
Dy  0.500  0.500  0.500
Se  0.240  0.240  0.240
Se  0.254  0.729  0.729
Se  0.271  0.271  0.746
Se  0.271  0.746  0.271
Se  0.729  0.254  0.729
Se  0.729  0.729  0.254
Se  0.746  0.271  0.271
Se  0.760  0.760  0.760

Volume = 33.8 A^3/atom
Formation energy (no corrections) = -1789 meV per atom
Final energy = -0.1787 Ha/atom
Symmetry = R-3m, No. 166

Material: K4Ac3DyTe8
Method: DFT, GGA-PBE
State: relaxed

a b c (Å): 9.936 9.936 9.936
angles (deg): 57.26 57.26 57.26
Fractional positions:
K  0.000  0.000  0.000
K  0.000  0.500  0.500
K  0.500  0.000  0.500
K  0.500  0.500  0.000
Ac  0.000  0.000  0.500
Ac  0.000  0.500  0.000
Ac  0.500  0.000  0.000
Dy  0.500  0.500  0.500
Te  0.242  0.242  0.242
Te  0.255  0.730  0.730
Te  0.270  0.270  0.745
Te  0.270  0.745  0.270
Te  0.730  0.255  0.730
Te  0.730  0.730  0.255
Te  0.745  0.270  0.270
Te  0.758  0.758  0.758

Volume = 40.6 A^3/atom
Formation energy (no corrections) = -1461 meV per atom
Final energy = -0.1604 Ha/atom
Symmetry = R-3m, No. 166

Material: K3Ac2DyTe6
Method: DFT, GGA-PBE
State: relaxed

a b c (Å): 8.200 8.200 8.713
angles (deg): 99.06 99.06 120.02
Fractional positions:
K  0.000  0.000  0.000
K  0.330  0.670  0.000
K  0.670  0.330  0.000
Ac  0.166  0.834  0.500
Ac  0.834  0.166  0.500
Dy  0.500  0.500  0.500
Te  0.112  0.428  0.283
Te  0.258  0.258  0.718
Te  0.428  0.112  0.283
Te  0.572  0.888  0.717
Te  0.742  0.742  0.282
Te  0.888  0.572  0.717

Volume = 40.1 A^3/atom
Formation energy (no corrections) = -1454 meV per atom
Final energy = -0.1605 Ha/atom
Symmetry = C2/m, No. 12

Material: Ac6La2Dy
Method: DFT, GGA-PBE
State: relaxed

a b c (Å): 3.899 3.899 28.973
angles (deg): 90.00 90.00 120.00
Fractional positions:
Ac  0.000  0.000  0.065
Ac  0.000  0.000  0.282
Ac  0.000  0.000  0.718
Ac  0.000  0.000  0.935
Ac  0.333  0.667  0.397
Ac  0.333  0.667  0.603
La  0.333  0.667  0.172
La  0.333  0.667  0.828
Dy  0.000  0.000  0.500

Volume = 42.4 A^3/atom
Formation enthalpy at 0 K = 0.70 eV/f.u.
Offset from the most stable computed form = 0 meV per atom
Final energy = -0.1568 Ha/atom
Symmetry = P-6m2, No. 187

Material: Ac12La5Dy
Method: DFT, GGA-PBE
State: relaxed

a b c (Å): 11.819 11.819 6.298
angles (deg): 90.01 90.01 60.45
Fractional positions:
Ac  0.161  0.839  0.000
Ac  0.172  0.497  0.001
Ac  0.277  0.953  0.501
Ac  0.285  0.613  0.500
Ac  0.497  0.172  0.001
Ac  0.505  0.830  0.000
Ac  0.613  0.285  0.500
Ac  0.621  0.946  0.501
Ac  0.830  0.505  0.000
Ac  0.839  0.161  0.000
Ac  0.946  0.621  0.501
Ac  0.953  0.277  0.501
La  0.172  0.172  0.000
La  0.278  0.278  0.501
La  0.507  0.507  0.001
La  0.611  0.611  0.500
La  0.840  0.840  0.001
Dy  0.946  0.946  0.501

Volume = 42.5 A^3/atom
Formation enthalpy at 0 K = 0.72 eV/f.u.
Final energy = -0.1589 Ha/atom
Symmetry = Cm, No. 8

Material: Ac2LaDy2
Method: DFT, GGA-PBE
State: relaxed

a b c (Å): 9.567 9.567 6.551
angles (deg): 106.27 106.27 41.62
Fractional positions:
Ac  0.043  0.344  0.196
Ac  0.344  0.043  0.696
Ac  0.656  0.957  0.304
Ac  0.957  0.656  0.804
La  0.079  0.921  0.750
La  0.921  0.079  0.250
Dy  0.297  0.530  0.339
Dy  0.470  0.703  0.161
Dy  0.530  0.297  0.839
Dy  0.703  0.470  0.661

Volume = 38.0 A^3/atom
Formation enthalpy at 0 K = 0.43 eV/f.u.
Final energy = -0.1611 Ha/atom
Symmetry = C2/c, No. 15

Material: Ac3La4Dy2
Method: DFT, GGA-PBE
State: relaxed

a b c (Å): 10.723 10.723 6.378
angles (deg): 96.77 96.77 70.65
Fractional positions:
Ac  0.117  0.883  0.750
Ac  0.213  0.448  0.917
Ac  0.448  0.213  0.417
Ac  0.552  0.787  0.583
Ac  0.787  0.552  0.083
Ac  0.883  0.117  0.250
La  0.008  0.757  0.192
La  0.243  0.992  0.308
La  0.318  0.575  0.469
La  0.425  0.682  0.031
La  0.575  0.318  0.969
La  0.682  0.425  0.531
La  0.757  0.008  0.692
La  0.992  0.243  0.808
Dy  0.088  0.351  0.363
Dy  0.351  0.088  0.863
Dy  0.649  0.912  0.137
Dy  0.912  0.649  0.637

Volume = 38.0 A^3/atom
Formation enthalpy at 0 K = 0.88 eV/f.u.
Final energy = -0.1648 Ha/atom
Symmetry = C2/c, No. 15

Material: AcLaDy2
Method: DFT, GGA-PBE
State: relaxed

a b c (Å): 5.327 5.327 5.058
angles (deg): 90.00 90.00 90.00
Fractional positions:
Ac  0.000  0.000  0.000
La  0.500  0.500  0.000
Dy  0.000  0.500  0.500
Dy  0.500  0.000  0.500

Volume = 35.9 A^3/atom
Formation enthalpy at 0 K = 0.15 eV/f.u.
Offset from the most stable computed form = 0 meV per atom
Final energy = -0.1662 Ha/atom
Symmetry = P4/mmm, No. 123

Material: AcLaDy
Method: DFT, GGA-PBE
State: relaxed

a b c (Å): 3.780 3.780 9.169
angles (deg): 90.00 90.00 120.00
Fractional positions:
Ac  0.000  0.000  0.000
La  0.333  0.667  0.648
Dy  0.667  0.333  0.330

Volume = 37.8 A^3/atom
Formation enthalpy at 0 K = 0.16 eV/f.u.
Offset from the most stable computed form = 10 meV per atom
Final energy = -0.1652 Ha/atom
Symmetry = P3m1, No. 156

Material: Ac5La4Dy
Method: DFT, GGA-PBE
State: relaxed

a b c (Å): 3.877 3.877 26.767
angles (deg): 90.00 90.00 90.00
Fractional positions:
Ac  0.000  0.000  0.000
Ac  0.000  0.000  0.203
Ac  0.000  0.000  0.405
Ac  0.000  0.000  0.595
Ac  0.000  0.000  0.797
La  0.500  0.500  0.102
La  0.500  0.500  0.305
La  0.500  0.500  0.695
La  0.500  0.500  0.898
Dy  0.500  0.500  0.500

Volume = 40.2 A^3/atom
Formation enthalpy at 0 K = 0.31 eV/f.u.
Final energy = -0.1637 Ha/atom
Symmetry = P4/mmm, No. 123

Material: Ac3La3Dy2
Method: DFT, GGA-PBE
State: relaxed

a b c (Å): 5.354 5.370 10.610
angles (deg): 90.00 90.00 90.00
Fractional positions:
Ac  0.000  0.000  0.000
Ac  0.000  0.000  0.500
Ac  0.500  0.500  0.000
La  0.000  0.500  0.254
La  0.000  0.500  0.746
La  0.500  0.500  0.500
Dy  0.500  0.000  0.254
Dy  0.500  0.000  0.746

Volume = 38.1 A^3/atom
Formation enthalpy at 0 K = 0.21 eV/f.u.
Final energy = -0.1658 Ha/atom
Symmetry = Pmmm, No. 47

Material: Ac12La7Dy
Method: DFT, GGA-PBE
State: relaxed

a b c (Å): 10.631 10.631 10.631
angles (deg): 109.47 109.47 109.47
Fractional positions:
Ac  0.072  0.802  0.270
Ac  0.198  0.270  0.468
Ac  0.198  0.730  0.928
Ac  0.270  0.072  0.802
Ac  0.270  0.468  0.198
Ac  0.468  0.198  0.270
Ac  0.532  0.802  0.730
Ac  0.730  0.532  0.802
Ac  0.730  0.928  0.198
Ac  0.802  0.270  0.072
Ac  0.802  0.730  0.532
Ac  0.928  0.198  0.730
La  0.000  0.000  0.500
La  0.000  0.500  0.000
La  0.000  0.500  0.500
La  0.500  0.000  0.000
La  0.500  0.000  0.500
La  0.500  0.500  0.000
La  0.500  0.500  0.500
Dy  0.000  0.000  0.000

Volume = 46.3 A^3/atom
Formation enthalpy at 0 K = 11.93 eV/f.u.
Final energy = -0.1405 Ha/atom
Symmetry = Im-3, No. 204

Material: Ac3La2Dy
Method: DFT, GGA-PBE
State: relaxed

a b c (Å): 7.211 7.211 9.569
angles (deg): 97.77 97.77 96.38
Fractional positions:
Ac  0.069  0.931  0.750
Ac  0.195  0.361  0.016
Ac  0.361  0.195  0.516
Ac  0.639  0.805  0.484
Ac  0.805  0.639  0.984
Ac  0.931  0.069  0.250
La  0.116  0.618  0.382
La  0.382  0.884  0.118
La  0.618  0.116  0.882
La  0.884  0.382  0.618
Dy  0.392  0.608  0.750
Dy  0.608  0.392  0.250

Volume = 40.4 A^3/atom
Formation enthalpy at 0 K = 0.61 eV/f.u.
Final energy = -0.1603 Ha/atom
Symmetry = C2/c, No. 15

Material: Ac4La3Dy4
Method: DFT, GGA-PBE
State: relaxed

a b c (Å): 19.062 19.062 3.748
angles (deg): 95.61 95.61 17.89
Fractional positions:
Ac  0.000  0.000  0.000
Ac  0.190  0.190  0.690
Ac  0.374  0.374  0.875
Ac  0.556  0.556  0.555
La  0.284  0.284  0.285
La  0.645  0.645  0.144
La  0.908  0.908  0.409
Dy  0.098  0.098  0.097
Dy  0.458  0.458  0.458
Dy  0.735  0.735  0.236
Dy  0.815  0.815  0.816

Volume = 37.9 A^3/atom
Formation enthalpy at 0 K = 0.65 eV/f.u.
Final energy = -0.1636 Ha/atom
Symmetry = Cm, No. 8

Material: Ac2La2Dy
Method: DFT, GGA-PBE
State: relaxed

a b c (Å): 4.709 4.709 18.576
angles (deg): 90.00 90.00 90.00
Fractional positions:
Ac  0.000  0.000  0.095
Ac  0.000  0.000  0.905
Ac  0.500  0.500  0.405
Ac  0.500  0.500  0.595
La  0.000  0.500  0.250
La  0.000  0.500  0.750
La  0.500  0.000  0.250
La  0.500  0.000  0.750
Dy  0.000  0.000  0.500
Dy  0.500  0.500  0.000

Volume = 41.2 A^3/atom
Formation enthalpy at 0 K = 1.81 eV/f.u.
Offset from the most stable computed form = 0 meV per atom
Final energy = -0.1533 Ha/atom
Symmetry = I4/mmm, No. 139

Material: AcLa5Dy8
Method: DFT, GGA-PBE
State: relaxed

a b c (Å): 9.057 9.057 17.096
angles (deg): 117.65 117.65 22.93
Fractional positions:
Ac  0.000  0.000  0.000
La  0.145  0.145  0.441
La  0.217  0.217  0.147
La  0.500  0.500  0.500
La  0.783  0.783  0.853
La  0.855  0.855  0.559
Dy  0.079  0.079  0.722
Dy  0.284  0.284  0.355
Dy  0.353  0.353  0.064
Dy  0.422  0.422  0.774
Dy  0.578  0.578  0.226
Dy  0.647  0.647  0.936
Dy  0.716  0.716  0.645
Dy  0.921  0.921  0.278

Volume = 34.4 A^3/atom
Formation enthalpy at 0 K = 0.86 eV/f.u.
Final energy = -0.1698 Ha/atom
Symmetry = C2/m, No. 12

Material: Ac7LaDy4
Method: DFT, GGA-PBE
State: relaxed

a b c (Å): 7.033 7.093 9.998
angles (deg): 90.96 103.68 95.09
Fractional positions:
Ac  0.000  0.000  0.000
Ac  0.201  0.364  0.594
Ac  0.295  0.833  0.373
Ac  0.488  0.246  0.938
Ac  0.512  0.754  0.062
Ac  0.705  0.167  0.627
Ac  0.799  0.636  0.406
La  0.000  0.500  0.000
Dy  0.163  0.850  0.712
Dy  0.363  0.325  0.272
Dy  0.637  0.675  0.728
Dy  0.837  0.150  0.288

Volume = 40.2 A^3/atom
Formation enthalpy at 0 K = 1.50 eV/f.u.
Final energy = -0.1549 Ha/atom
Symmetry = P-1, No. 2

Material: Ac2La7Dy4
Method: DFT, GGA-PBE
State: relaxed

a b c (Å): 6.422 6.422 13.257
angles (deg): 90.00 90.00 120.00
Fractional positions:
Ac  0.333  0.667  0.000
Ac  0.667  0.333  0.000
La  0.000  0.000  0.000
La  0.000  0.381  0.764
La  0.000  0.619  0.236
La  0.381  0.000  0.764
La  0.381  0.381  0.236
La  0.619  0.000  0.236
La  0.619  0.619  0.764
Dy  0.000  0.000  0.391
Dy  0.000  0.000  0.609
Dy  0.333  0.667  0.500
Dy  0.667  0.333  0.500

Volume = 36.4 A^3/atom
Formation enthalpy at 0 K = 2.32 eV/f.u.
Final energy = -0.1662 Ha/atom
Symmetry = P-31m, No. 162